Material: TbMgTlS3
Method: DFT, PBE
State: relaxed

Values from the calculation:
Energy = -4.877 eV/atom
Total moment = 0.00 μB per atom

Cell: 10.8843 4.0833 14.1420 Å, 90.00 90.00 90.00°
Fractional positions:
Tb (0.0130, 0.2500, 0.2389)
Tb (0.4870, 0.7500, 0.7389)
Tb (0.5130, 0.2500, 0.2611)
Tb (0.9870, 0.7500, 0.7611)
Mg (0.2364, 0.2500, 0.7101)
Mg (0.2636, 0.7500, 0.2101)
Mg (0.7364, 0.2500, 0.7899)
Mg (0.7636, 0.7500, 0.2899)
Tl (0.2148, 0.7500, 0.4926)
Tl (0.2852, 0.2500, 0.9926)
Tl (0.7148, 0.7500, 0.0074)
Tl (0.7852, 0.2500, 0.5074)
S (0.0398, 0.2500, 0.6325)
S (0.0775, 0.7500, 0.1199)
S (0.2396, 0.7500, 0.8083)
S (0.2604, 0.2500, 0.3083)
S (0.4225, 0.2500, 0.6199)
S (0.4602, 0.7500, 0.1325)
S (0.5398, 0.2500, 0.8675)
S (0.5775, 0.7500, 0.3801)
S (0.7396, 0.7500, 0.6917)
S (0.7604, 0.2500, 0.1917)
S (0.9225, 0.2500, 0.8801)
S (0.9602, 0.7500, 0.3675)